Density functional theory data (GGA-PBE) for a geometry-optimized TiAs2SeCl structure.

POSCAR file:
```
TiAs2SeCl
1.0
-3.457 1.056 -3.057
2.607 -1.738 -3.549
-2.022 -4.515 0.726
As Cl Ti Se
2 1 1 1
Cartesian
-1.729 0.528 -1.528
1.303 -0.869 -1.775
0.000 0.000 0.000
-1.436 -2.598 -2.940
-1.011 -2.257 0.363
```

Computed properties:
raw formation energy = 20.497 kcal/mol of atoms
calculated volume = 22.4 A^3/atom
polymorph energy (0 for the lowest one) = 939 meV/atom
space-group type = No. 123
crystal system = tetragonal